No. 1
Computed, not measured: a geometry-optimized AcSiHg structure at the PBE-GGA level of DFT.

Cell lengths 8.6627, 8.6627, 4.0270 Å; angles 103.39, 103.39, 33.00 degrees
Atoms (fractional coordinates):
Ac  0.8916  0.8916  0.1420
Hg  0.2929  0.2929  0.5504
Si  0.5409  0.5409  0.2907
Hg  0.7071  0.7071  0.4496
Si  0.4591  0.4591  0.7093
Ac  0.1084  0.1084  0.8580

Values from the calculation:
For the distance to the lowest polymorph of the same formula, the calculation gives 0 meV per atom.

No. 2
Computed, not measured: a geometry-optimized YCdCoB structure at the PBE-GGA level of DFT.

Cell lengths 4.5095, 4.5095, 4.5095 Å; angles 60.00, 60.00, 60.00 degrees
Each line ends with the local moment (μB).
Atoms (fractional coordinates):
B  0.0000  0.0000  0.0000  0.04
Cd  0.2500  0.2500  0.2500  0.00
Y  0.5000  0.5000  0.5000  -0.03
Co  0.7500  0.7500  0.7500  0.97

Values from the calculation:
For the distance to the lowest polymorph of the same formula, the calculation gives 223 meV per atom.

No. 3
Computed, not measured: a geometry-optimized Ta2Sn structure at the PBE-GGA level of DFT.

Cell lengths 5.5810, 5.5810, 5.5810 Å; angles 60.00, 60.00, 60.00 degrees
Atoms (fractional coordinates):
Ta  0.6250  0.6250  0.1250
Ta  0.6250  0.6250  0.6250
Sn  0.2500  0.2500  0.2500
Ta  0.1250  0.6250  0.6250
Sn  0.0000  0.0000  0.0000
Ta  0.6250  0.1250  0.6250

Values from the calculation:
The calculation puts the total energy at -0.6553 Ry/atom.

No. 4
Computed, not measured: a geometry-optimized CuBH8C8BrN4F4 structure at the PBE-GGA level of DFT.

Cell lengths 9.6478, 9.6478, 5.7911 Å; angles 90.00, 90.00, 90.00 degrees
Atoms (fractional coordinates):
H  0.7566  0.0719  0.2964
C  0.2533  0.3487  0.1637
H  0.2434  0.0719  0.7036
H  0.4281  0.7434  0.2964
C  0.1513  0.7533  0.8363
H  0.9281  0.7566  0.2964
F  0.9146  0.5854  0.6395
H  0.4281  0.2566  0.7036
C  0.3487  0.2533  0.8363
F  0.0854  0.4146  0.6395
C  0.2467  0.1513  0.8363
C  0.7467  0.3487  0.8363
C  0.7467  0.6513  0.1637
F  0.5854  0.9146  0.3605
N  0.3509  0.6491  0.0000
F  0.5854  0.0854  0.6395
Cu  0.0000  0.0000  0.0000
C  0.3487  0.7467  0.1637
F  0.4146  0.0854  0.3605
C  0.1513  0.2467  0.1637
N  0.8509  0.8509  0.0000
H  0.2434  0.9281  0.2964
H  0.7566  0.9281  0.7036
H  0.0719  0.2434  0.2964
C  0.8487  0.2467  0.8363
C  0.8487  0.7533  0.1637
H  0.2566  0.4281  0.2964
H  0.5719  0.7434  0.7036
C  0.2467  0.8487  0.1637
F  0.0854  0.5854  0.3605
H  0.7434  0.5719  0.2964
H  0.2566  0.5719  0.7036
H  0.0719  0.7566  0.7036
N  0.3509  0.3509  0.0000
N  0.6491  0.3509  0.0000
B  0.5000  0.0000  0.5000
C  0.2533  0.6513  0.8363
C  0.6513  0.2533  0.1637
Cu  0.5000  0.5000  0.0000
F  0.9146  0.4146  0.3605
F  0.4146  0.9146  0.6395
C  0.6513  0.7467  0.8363
B  0.0000  0.5000  0.5000
C  0.7533  0.8487  0.8363
H  0.5719  0.2566  0.2964
Br  0.0000  0.0000  0.5000
C  0.7533  0.1513  0.1637
Br  0.5000  0.5000  0.5000
N  0.6491  0.6491  0.0000
H  0.9281  0.2434  0.7036
H  0.7434  0.4281  0.7036
N  0.1491  0.8509  0.0000
N  0.8509  0.1491  0.0000
N  0.1491  0.1491  0.0000

Values from the calculation:
For the distance to the lowest polymorph of the same formula, the calculation gives 0 meV per atom.

No. 5
Computed, not measured: a geometry-optimized DyLu2Ge4Au4 structure at the PBE-GGA level of DFT.

Cell lengths 8.3639, 8.3639, 8.3639 Å; angles 150.23, 130.06, 59.23 degrees
Atoms (fractional coordinates):
Au  0.6302  0.3333  0.2969
Ge  0.3167  0.5000  0.8167
Dy  0.0000  0.0000  0.0000
Ge  0.2173  0.2173  0.0000
Au  0.9636  0.6667  0.2969
Lu  0.6255  0.1255  0.5000
Ge  0.6833  0.5000  0.1833
Au  0.3698  0.6667  0.7031
Au  0.0364  0.3333  0.7031
Lu  0.3745  0.8745  0.5000
Ge  0.7827  0.7827  0.0000

Values from the calculation:
The calculation puts the total energy at -0.3486 Ry/atom.

No. 6
Computed, not measured: a geometry-optimized ScFeBiAu structure at the PBE-GGA level of DFT.

Cell lengths 4.8157, 4.8157, 4.8157 Å; angles 60.00, 60.00, 60.00 degrees
Atoms (fractional coordinates):
Sc  0.5000  0.5000  0.5000
Fe  0.7500  0.7500  0.7500
Bi  0.0000  0.0000  0.0000
Au  0.2500  0.2500  0.2500

Values from the calculation:
For the distance to the lowest polymorph of the same formula, the calculation gives 52 meV per atom.